A plane-wave DFT calculation with GGA-PBE was carried out for a relaxed BaIn2W crystal.

DOS(E_F) ... 10.811 states/eV per cell
Crystal system ... trigonal
Calculated formation energy ... 0.604 eV per atom
Excess energy over the best structure of this formula in the dataset ... 0.174 eV per atom

abc: 3.2381 3.2381 32.5462
angles: 90.00 90.00 120.00
Closest atoms and distances in Å follow each position.
Sites, in units of the cell vectors:
Ba 0.0000 0.0000 0.0000  6 Ba 3.24
Ba 0.3333 0.6667 0.6667  6 Ba 3.24
Ba 0.6667 0.3333 0.3333  6 Ba 3.24
In 0.0000 0.0000 0.2373  3 W 2.96, 6 In 3.24
In 0.0000 0.0000 0.7627  3 W 2.96, 6 In 3.24
In 0.3333 0.6667 0.4294  3 W 2.96, 6 In 3.24
In 0.3333 0.6667 0.9040  3 W 2.96, 6 In 3.24
In 0.6667 0.3333 0.0960  3 W 2.96, 6 In 3.24
In 0.6667 0.3333 0.5706  3 W 2.96, 6 In 3.24
W 0.0000 0.0000 0.5000  6 In 2.96, 6 W 3.24
W 0.3333 0.6667 0.1667  6 In 2.96, 6 W 3.24
W 0.6667 0.3333 0.8333  6 In 2.96, 6 W 3.24